The following is a PBE calculation of a relaxed MgHg3 crystal, from Alexandria.

Lattice parameters (Å, degrees): 4.9382 4.9382 9.2941 90.00 90.00 120.00
Space group P6_3/mmc (No. 194)
One atom of each set of equivalent atoms:
Mg 0.3333 0.6667 0.2500 [2 per cell]
Hg 0.0000 0.0000 0.2500 [2 per cell]
Hg 0.3333 0.6667 0.5743 [4 per cell]

Properties
crystal system	hexagonal
magnetization	0.000	μB per atom
uncorrected energy	-5.67	eV for the cell shown

***

The following is a PBE calculation of a relaxed MgHg crystal, from Alexandria.

Lattice parameters (Å, degrees): 5.809 5.809 5.809 90.00 90.00 90.00
Space group Fm-3m (No. 225)
One atom of each set of equivalent atoms:
Mg 0.000 0.000 0.000 [4 per cell]
Hg 0.000 0.000 0.500 [4 per cell]

Properties
crystal system	cubic
magnetization	0.000	μB per atom
uncorrected energy	-8.41	eV for the cell shown

***

The following is a PBE calculation of a relaxed Mg5Hg crystal, from Alexandria.

Lattice parameters (Å, degrees): 11.970 3.181 7.275 90.00 104.32 90.00
Space group Cm (No. 8)
One atom of each set of equivalent atoms:
Mg 0.000 0.000 0.000 [2 per cell]
Mg 0.046 0.000 0.609 [2 per cell]
Mg 0.167 0.500 0.342 [2 per cell]
Mg 0.221 0.500 0.933 [2 per cell]
Mg 0.385 0.000 0.274 [2 per cell]
Hg 0.331 0.000 0.665 [2 per cell]

Properties
crystal system	monoclinic
E above lowest polymorph	0.013	eV/atom
magnetization	0.000	μB per atom